1.
Density functional theory data (GGA-PBE) for a relaxed structure of Hf3TlCN.

Computed properties:
- calculated total energy (Ry/atom) = -0.6803

a = 3.2992 Å, b = 3.2992 Å, c = 19.9332 Å
α = 90.00°, β = 90.00°, γ = 120.00°
Last column: nearest neighbours and their distance in Å.
Atoms (fractional coordinates):
Tl 0.0000 0.0000 0.7478  6 Hf 3.11-3.14, 6 Tl 3.30
Tl 0.0000 0.0000 0.2522  6 Hf 3.11-3.14, 6 Tl 3.30
Hf 0.3333 0.6667 0.8730  3 C 2.22
Hf 0.3333 0.6667 0.6248  3 N 2.25
Hf 0.6667 0.3333 0.1270  3 C 2.22
Hf 0.6667 0.3333 0.3752  3 N 2.25
Hf 0.0000 0.0000 0.5000  6 N 2.30
Hf 0.0000 0.0000 0.0000  6 C 2.36
N 0.6667 0.3333 0.5647  6 Hf 2.25-2.30
N 0.3333 0.6667 0.4353  6 Hf 2.25-2.30
C 0.6667 0.3333 0.9304  6 Hf 2.22-2.36
C 0.3333 0.6667 0.0696  6 Hf 2.22-2.36

***

2.
Density functional theory data (GGA-PBE) for a relaxed structure of Hf2NbC3.

Computed properties:
- calculated total energy (Ry/atom) = -0.7657

a = 3.2465 Å, b = 3.2465 Å, c = 7.9629 Å
α = 90.00°, β = 90.00°, γ = 120.00°
Last column: nearest neighbours and their distance in Å.
Atoms (fractional coordinates):
Hf 0.6667 0.3333 0.8310  6 C 2.31
Hf 0.3333 0.6667 0.1690  6 C 2.31
C 0.3333 0.6667 0.6617  3 Nb 2.27, 3 Hf 2.31
C 0.0000 0.0000 0.0000  6 Hf 2.31
C 0.6667 0.3333 0.3383  3 Nb 2.27, 3 Hf 2.31
Nb 0.0000 0.0000 0.5000  6 C 2.27

***

3.
Density functional theory data (GGA-PBE) for a relaxed structure of HfNbC2.

Computed properties:
- calculated total energy (Ry/atom) = -0.7598

a = 3.2316 Å, b = 3.2316 Å, c = 4.5601 Å
α = 90.00°, β = 90.00°, γ = 90.00°
Last column: nearest neighbours and their distance in Å.
Atoms (fractional coordinates):
C 0.5000 0.5000 0.0000  2 Nb 2.28, 4 Hf 2.29
C 0.0000 0.0000 0.5000  2 Hf 2.28, 4 Nb 2.29
Hf 0.0000 0.0000 0.0000  6 C 2.28-2.29
Nb 0.5000 0.5000 0.5000  6 C 2.28-2.29

***

4.
Density functional theory data (GGA-PBE) for a relaxed structure of Hf2Nb4Ni3C3.

Computed properties:
- calculated total energy (Ry/atom) = -0.6720

a = 5.4076 Å, b = 5.4127 Å, c = 13.5586 Å
α = 78.89°, β = 78.50°, γ = 60.03°
Last column: nearest neighbours and their distance in Å.
Atoms (fractional coordinates):
C 0.8254 0.8373 0.0000  4 Nb 2.14-2.21, 2 Hf 2.32
C 0.5000 0.5000 0.0000  4 Nb 2.15, 2 Hf 2.36
C 0.0000 0.0000 0.5000  4 Nb 2.15, 2 Hf 2.36
C 0.1746 0.1627 0.0000  4 Nb 2.14-2.21, 2 Hf 2.32
C 0.3372 0.3372 0.5001  4 Nb 2.14-2.21, 2 Hf 2.32
C 0.6628 0.6628 0.4999  4 Nb 2.14-2.21, 2 Hf 2.32
Nb 0.3038 0.9668 0.5896  3 C 2.14-2.21
Nb 0.6962 0.0332 0.4104  3 C 2.14-2.21
Nb 0.9739 0.6376 0.5896  3 C 2.14-2.20
Nb 0.0261 0.3624 0.4104  3 C 2.14-2.20
Nb 0.2010 0.8624 0.9104  3 C 2.14-2.20
Nb 0.8602 0.5332 0.9104  3 C 2.14-2.21
Nb 0.7990 0.1376 0.0896  3 C 2.14-2.20
Nb 0.1398 0.4668 0.0896  3 C 2.14-2.21
Hf 0.6242 0.3007 0.6142  3 C 2.32-2.36
Hf 0.5391 0.1993 0.8858  3 C 2.32-2.36
Hf 0.3758 0.6993 0.3858  3 C 2.32-2.36
Hf 0.4609 0.8007 0.1142  3 C 2.32-2.36
Ni 0.0719 0.2500 0.7500  4 Nb 2.63-2.65, 4 Ni 2.70-2.72
Ni 0.8952 0.2690 0.2501  4 Nb 2.62-2.65, 4 Ni 2.70-2.72
Ni 0.4143 0.2310 0.2499  4 Nb 2.62-2.65, 4 Ni 2.70-2.72
Ni 0.1048 0.7310 0.7499  4 Nb 2.62-2.65, 4 Ni 2.70-2.72
Ni 0.5857 0.7690 0.7501  4 Nb 2.62-2.65, 4 Ni 2.70-2.72
Ni 0.9281 0.7500 0.2500  4 Nb 2.63-2.65, 4 Ni 2.70-2.72

***

5.
Density functional theory data (GGA-PBE) for a relaxed structure of Hf4Nb2P3C3.

Computed properties:
- calculated total energy (Ry/atom) = -0.7107

a = 5.8201 Å, b = 5.8201 Å, c = 12.4177 Å
α = 103.55°, β = 103.55°, γ = 60.04°
Last column: nearest neighbours and their distance in Å.
Atoms (fractional coordinates):
Hf 0.0353 0.2011 0.6044  3 C 2.30-2.31
Hf 0.2011 0.0353 0.1044  3 C 2.30-2.31
Hf 0.1305 0.2988 0.8956  3 C 2.30-2.31
Hf 0.7012 0.8695 0.6044  3 C 2.30-2.31
Hf 0.9647 0.7989 0.3956  3 C 2.30-2.31
Hf 0.8695 0.7012 0.1044  3 C 2.30-2.31
Hf 0.7989 0.9647 0.8956  3 C 2.30-2.31
Hf 0.2988 0.1305 0.3956  3 C 2.30-2.31
C 0.0000 0.5000 0.5000  2 Nb 2.27, 4 Hf 2.31
C 0.6674 0.1651 0.5000  2 Nb 2.28, 4 Hf 2.30-2.31
C 0.5000 0.0000 0.0000  2 Nb 2.27, 4 Hf 2.31
C 0.1651 0.6674 0.0000  2 Nb 2.28, 4 Hf 2.30-2.31
C 0.3326 0.8349 0.5000  2 Nb 2.28, 4 Hf 2.30-2.31
C 0.8349 0.3326 0.0000  2 Nb 2.28, 4 Hf 2.30-2.31
P 0.7400 0.5839 0.7499  2 Nb 2.61, 4 Hf 2.62-2.63
P 0.4161 0.2600 0.7501  2 Nb 2.61, 4 Hf 2.62-2.63
P 0.5839 0.7400 0.2499  2 Nb 2.61, 4 Hf 2.62-2.63
P 0.2600 0.4161 0.2501  2 Nb 2.61, 4 Hf 2.62-2.63
P 0.9076 0.0924 0.2500  2 Nb 2.61, 4 Hf 2.62-2.63
P 0.0924 0.9076 0.7500  2 Nb 2.61, 4 Hf 2.62-2.63
Nb 0.4665 0.6346 0.9007  3 C 2.27-2.28
Nb 0.3654 0.5335 0.5993  3 C 2.27-2.28
Nb 0.6346 0.4665 0.4007  3 C 2.27-2.28
Nb 0.5335 0.3654 0.0993  3 C 2.27-2.28

***

6.
Density functional theory data (GGA-PBE) for a relaxed structure of Hf2Nb4P3C3.

Computed properties:
- calculated total energy (Ry/atom) = -0.7039

a = 5.7664 Å, b = 5.7664 Å, c = 12.2598 Å
α = 103.58°, β = 103.58°, γ = 60.04°
Last column: nearest neighbours and their distance in Å.
Atoms (fractional coordinates):
P 0.4169 0.2419 0.7501  4 Nb 2.60, 2 Hf 2.61
P 0.5831 0.7581 0.2499  4 Nb 2.60, 2 Hf 2.61
P 0.7581 0.5831 0.7499  4 Nb 2.60, 2 Hf 2.61
P 0.0749 0.9251 0.7500  4 Nb 2.60-2.61, 2 Hf 2.61
P 0.9251 0.0749 0.2500  4 Nb 2.60-2.61, 2 Hf 2.61
P 0.2419 0.4169 0.2501  4 Nb 2.60, 2 Hf 2.61
Nb 0.2005 0.0326 0.0992  3 C 2.25-2.26
Nb 0.7995 0.9674 0.9008  3 C 2.25-2.26
Nb 0.6988 0.8664 0.5993  3 C 2.25-2.26
Nb 0.8664 0.6988 0.0993  3 C 2.25-2.26
Nb 0.9674 0.7995 0.4008  3 C 2.25-2.26
Nb 0.1336 0.3012 0.9007  3 C 2.25-2.26
Nb 0.3012 0.1336 0.4007  3 C 2.25-2.26
Nb 0.0326 0.2005 0.5992  3 C 2.25-2.26
C 0.1685 0.6662 0.0001  4 Nb 2.25-2.26, 2 Hf 2.28
C 0.5000 0.0000 0.0000  4 Nb 2.25, 2 Hf 2.29
C 0.8315 0.3338 0.9999  4 Nb 2.25-2.26, 2 Hf 2.28
C 0.3338 0.8315 0.4999  4 Nb 2.25-2.26, 2 Hf 2.28
C 0.6662 0.1685 0.5001  4 Nb 2.25-2.26, 2 Hf 2.28
C 0.0000 0.5000 0.5000  4 Nb 2.25, 2 Hf 2.29
Hf 0.6316 0.4651 0.3951  3 C 2.28-2.29
Hf 0.3684 0.5349 0.6049  3 C 2.28-2.29
Hf 0.4651 0.6316 0.8951  3 C 2.28-2.29
Hf 0.5349 0.3684 0.1049  3 C 2.28-2.29

***

7.
Density functional theory data (GGA-PBE) for a relaxed structure of HfNbPbC.

Computed properties:
- calculated total energy (Ry/atom) = -0.6383

a = 3.3522 Å, b = 3.3522 Å, c = 14.3795 Å
α = 90.00°, β = 90.00°, γ = 120.00°
Last column: nearest neighbours and their distance in Å.
Atoms (fractional coordinates):
C 0.0000 0.0000 0.0000  6 Hf 2.28
C 0.0000 0.0000 0.5000  6 Nb 2.23
Hf 0.3333 0.6667 0.0838  3 C 2.28
Hf 0.6667 0.3333 0.9162  3 C 2.28
Nb 0.6667 0.3333 0.5764  3 C 2.23
Nb 0.3333 0.6667 0.4236  3 C 2.23
Pb 0.3333 0.6667 0.7428  3 Nb 3.08, 3 Hf 3.16, 6 Pb 3.35
Pb 0.6667 0.3333 0.2572  3 Nb 3.08, 3 Hf 3.16, 6 Pb 3.35

***

8.
Density functional theory data (GGA-PBE) for a relaxed structure of Hf4Nb2Pb3C3.

Computed properties:
- calculated total energy (Ry/atom) = -0.6416

a = 5.7530 Å, b = 5.7530 Å, c = 15.0873 Å
α = 101.00°, β = 101.00°, γ = 60.04°
Last column: nearest neighbours and their distance in Å.
Atoms (fractional coordinates):
Pb 0.4159 0.2576 0.2505  4 Hf 3.12-3.13, 2 Nb 3.14-3.15, 6 Pb 3.25-3.36
Pb 0.9102 0.0898 0.7500  4 Hf 3.12, 2 Nb 3.14, 6 Pb 3.25-3.36
Pb 0.7424 0.5841 0.2495  4 Hf 3.12-3.13, 2 Nb 3.14-3.15, 6 Pb 3.25-3.36
Pb 0.5841 0.7424 0.7495  4 Hf 3.12-3.13, 2 Nb 3.14-3.15, 6 Pb 3.25-3.36
Pb 0.0898 0.9102 0.2500  4 Hf 3.12, 2 Nb 3.14, 6 Pb 3.25-3.36
Pb 0.2576 0.4159 0.7505  4 Hf 3.12-3.13, 2 Nb 3.14-3.15, 6 Pb 3.25-3.36
Hf 0.6942 0.8630 0.0834  3 C 2.27-2.28
Hf 0.8630 0.6942 0.5834  3 C 2.27-2.28
Hf 0.1370 0.3058 0.4166  3 C 2.27-2.28
Hf 0.1928 0.0292 0.5835  3 C 2.27-2.28
Hf 0.3058 0.1370 0.9166  3 C 2.27-2.28
Hf 0.9708 0.8072 0.9165  3 C 2.27-2.28
Hf 0.0292 0.1928 0.0835  3 C 2.27-2.28
Hf 0.8072 0.9708 0.4165  3 C 2.27-2.28
Nb 0.5264 0.3563 0.5788  3 C 2.23-2.25
Nb 0.3563 0.5264 0.0788  3 C 2.23-2.25
Nb 0.6437 0.4736 0.9212  3 C 2.23-2.25
Nb 0.4736 0.6437 0.4212  3 C 2.23-2.25
C 0.6668 0.1664 0.0000  2 Nb 2.25, 4 Hf 2.27-2.28
C 0.0000 0.5000 0.0000  2 Nb 2.23, 4 Hf 2.28
C 0.5000 0.0000 0.5000  2 Nb 2.23, 4 Hf 2.28
C 0.8336 0.3332 0.5000  2 Nb 2.25, 4 Hf 2.27-2.28
C 0.1664 0.6668 0.5000  2 Nb 2.25, 4 Hf 2.27-2.28
C 0.3332 0.8336 0.0000  2 Nb 2.25, 4 Hf 2.27-2.28

***

9.
Density functional theory data (GGA-PBE) for a relaxed structure of Hf2Nb4Pb3C3.

Computed properties:
- calculated total energy (Ry/atom) = -0.6343

a = 5.8298 Å, b = 5.8298 Å, c = 14.5540 Å
α = 101.48°, β = 101.48°, γ = 60.10°
Last column: nearest neighbours and their distance in Å.
Atoms (fractional coordinates):
C 0.3356 0.8280 0.5000  4 Nb 2.23, 2 Hf 2.26
C 0.8280 0.3356 0.0000  4 Nb 2.23, 2 Hf 2.26
C 0.6644 0.1720 0.5000  4 Nb 2.23, 2 Hf 2.26
C 0.0000 0.5000 0.5000  4 Nb 2.22, 2 Hf 2.28
C 0.1720 0.6644 0.0000  4 Nb 2.23, 2 Hf 2.26
C 0.5000 0.0000 0.0000  4 Nb 2.22, 2 Hf 2.28
Nb 0.1404 0.3074 0.9243  3 C 2.22-2.23
Nb 0.3074 0.1404 0.4243  3 C 2.22-2.23
Nb 0.8596 0.6926 0.0757  3 C 2.22-2.23
Nb 0.1911 0.0274 0.0757  3 C 2.22-2.23
Nb 0.9726 0.8089 0.4243  3 C 2.22-2.23
Nb 0.8089 0.9726 0.9243  3 C 2.22-2.23
Nb 0.6926 0.8596 0.5757  3 C 2.22-2.23
Nb 0.0274 0.1911 0.5757  3 C 2.22-2.23
Pb 0.0728 0.9272 0.7500  2 Hf 3.10, 4 Nb 3.12, 4 Pb 3.31-3.32
Pb 0.7605 0.5834 0.7499  2 Hf 3.09-3.10, 4 Nb 3.12-3.13, 4 Pb 3.31-3.32
Pb 0.5834 0.7605 0.2499  2 Hf 3.09-3.10, 4 Nb 3.12-3.13, 4 Pb 3.31-3.32
Pb 0.9272 0.0728 0.2500  2 Hf 3.10, 4 Nb 3.12, 4 Pb 3.31-3.32
Pb 0.2395 0.4166 0.2501  2 Hf 3.09-3.10, 4 Nb 3.12-3.13, 4 Pb 3.31-3.32
Pb 0.4166 0.2395 0.7501  2 Hf 3.09-3.10, 4 Nb 3.12-3.13, 4 Pb 3.31-3.32
Hf 0.3610 0.5274 0.5837  3 C 2.26-2.28
Hf 0.4726 0.6390 0.9163  3 C 2.26-2.28
Hf 0.5274 0.3610 0.0837  3 C 2.26-2.28
Hf 0.6390 0.4726 0.4163  3 C 2.26-2.28

***

10.
Density functional theory data (GGA-PBE) for a relaxed structure of Hf4Nb2C3S3.

Computed properties:
- calculated total energy (Ry/atom) = -0.6978

a = 5.8127 Å, b = 5.8127 Å, c = 12.3730 Å
α = 103.53°, β = 103.53°, γ = 60.07°
Last column: nearest neighbours and their distance in Å.
Atoms (fractional coordinates):
S 0.5831 0.7436 0.2498  4 Hf 2.64-2.65, 2 Nb 2.67
S 0.9095 0.0905 0.2500  4 Hf 2.64-2.65, 2 Nb 2.67
S 0.4169 0.2564 0.7502  4 Hf 2.64-2.65, 2 Nb 2.67
S 0.2564 0.4169 0.2502  4 Hf 2.64-2.65, 2 Nb 2.67
S 0.0905 0.9095 0.7500  4 Hf 2.64-2.65, 2 Nb 2.67
S 0.7436 0.5831 0.7498  4 Hf 2.64-2.65, 2 Nb 2.67
Hf 0.7003 0.8664 0.6011  3 C 2.26-2.28
Hf 0.9673 0.7995 0.3989  3 C 2.27-2.28
Hf 0.2005 0.0327 0.1011  3 C 2.27-2.28
Hf 0.7995 0.9673 0.8989  3 C 2.27-2.28
Hf 0.2997 0.1336 0.3989  3 C 2.26-2.28
Hf 0.8664 0.7003 0.1011  3 C 2.26-2.28
Hf 0.0327 0.2005 0.6011  3 C 2.27-2.28
Hf 0.1336 0.2997 0.8989  3 C 2.26-2.28
C 0.0000 0.5000 0.5000  2 Nb 2.23, 4 Hf 2.28
C 0.3305 0.8389 0.5000  2 Nb 2.25, 4 Hf 2.26-2.28
C 0.5000 0.0000 0.0000  2 Nb 2.23, 4 Hf 2.28
C 0.6695 0.1611 0.5000  2 Nb 2.25, 4 Hf 2.26-2.28
C 0.8389 0.3305 0.0000  2 Nb 2.25, 4 Hf 2.26-2.28
C 0.1611 0.6695 0.0000  2 Nb 2.25, 4 Hf 2.26-2.28
Nb 0.4689 0.6356 0.9071  3 C 2.23-2.25
Nb 0.3644 0.5311 0.5929  3 C 2.23-2.25
Nb 0.5311 0.3644 0.0929  3 C 2.23-2.25
Nb 0.6356 0.4689 0.4071  3 C 2.23-2.25

***

11.
Density functional theory data (GGA-PBE) for a relaxed structure of HfNbCS.

Computed properties:
- calculated total energy (Ry/atom) = -0.6917

a = 3.3552 Å, b = 3.3552 Å, c = 11.7881 Å
α = 90.00°, β = 90.00°, γ = 120.00°
Last column: nearest neighbours and their distance in Å.
Atoms (fractional coordinates):
S 0.3333 0.6667 0.5000  6 Nb 2.61
S 0.6667 0.3333 0.0000  6 Hf 2.67
Hf 0.3333 0.6667 0.8447  3 C 2.26
Hf 0.3333 0.6667 0.1553  3 C 2.26
C 0.0000 0.0000 0.2534  3 Hf 2.26, 3 Nb 2.26
C 0.0000 0.0000 0.7466  3 Hf 2.26, 3 Nb 2.26
Nb 0.6667 0.3333 0.6483  3 C 2.26
Nb 0.6667 0.3333 0.3517  3 C 2.26

***

12.
Density functional theory data (GGA-PBE) for a relaxed structure of Hf2Nb4Sb3C3.

Computed properties:
- calculated total energy (Ry/atom) = -0.6529

a = 5.8956 Å, b = 5.8956 Å, c = 13.6462 Å
α = 102.44°, β = 102.44°, γ = 60.10°
Last column: nearest neighbours and their distance in Å.
Atoms (fractional coordinates):
Sb 0.2390 0.4167 0.2503  2 Hf 2.93, 4 Nb 2.94-2.95
Sb 0.5833 0.7610 0.2497  2 Hf 2.93, 4 Nb 2.94-2.95
Sb 0.4167 0.2390 0.7503  2 Hf 2.93, 4 Nb 2.94-2.95
Sb 0.0724 0.9276 0.7500  2 Hf 2.93, 4 Nb 2.95
Sb 0.9276 0.0724 0.2500  2 Hf 2.93, 4 Nb 2.95
Sb 0.7610 0.5833 0.7497  2 Hf 2.93, 4 Nb 2.94-2.95
C 0.0000 0.5000 0.5000  4 Nb 2.24-2.25, 2 Hf 2.30
C 0.8282 0.3356 0.0000  4 Nb 2.24-2.26, 2 Hf 2.28
C 0.5000 0.0000 0.0000  4 Nb 2.24-2.25, 2 Hf 2.30
C 0.3356 0.8282 0.5000  4 Nb 2.24-2.26, 2 Hf 2.28
C 0.6644 0.1718 0.5000  4 Nb 2.24-2.26, 2 Hf 2.28
C 0.1718 0.6644 0.0000  4 Nb 2.24-2.26, 2 Hf 2.28
Nb 0.3060 0.1392 0.4183  3 C 2.25-2.26
Nb 0.1941 0.0276 0.0817  3 C 2.24-2.26
Nb 0.1392 0.3060 0.9183  3 C 2.25-2.26
Nb 0.0276 0.1941 0.5817  3 C 2.24-2.26
Nb 0.8608 0.6940 0.0817  3 C 2.25-2.26
Nb 0.9724 0.8059 0.4183  3 C 2.24-2.26
Nb 0.8059 0.9724 0.9183  3 C 2.24-2.26
Nb 0.6940 0.8608 0.5817  3 C 2.25-2.26
Hf 0.3633 0.5298 0.5899  3 C 2.28-2.30
Hf 0.4702 0.6367 0.9101  3 C 2.28-2.30
Hf 0.5298 0.3633 0.0899  3 C 2.28-2.30
Hf 0.6367 0.4702 0.4101  3 C 2.28-2.30